No. 1
Here is crystalline BeHgOs2 at its relaxed geometry from Alexandria. Energies are from PBE.

Cell: 8.8288 8.8288 8.8288 Å, 18.16 18.16 18.16°
Atoms (fractional coordinates):
1 Be 0.0000 0.0000 0.0000
2 Hg 0.5000 0.5000 0.5000
3 Os 0.2633 0.2633 0.2633
4 Os 0.7367 0.7367 0.7367

## Properties
space-group type = R-3m (166)
mass density = 16.8 Mg/m³
calculated formation energy = 553 meV per atom
excess energy over the best structure of this formula in the dataset = 0.2823 eV per atom

---

No. 2
Here is crystalline Cr2WCl at its relaxed geometry from Alexandria. Energies are from PBE.

Cell: 4.9922 4.9922 4.9922 Å, 147.47 127.87 62.80°
Atoms (fractional coordinates):
1 Cr 0.2218 0.2218 0.0000
2 Cr 0.7782 0.7782 0.0000
3 W 0.5000 0.0000 0.5000
4 Cl 0.0000 0.5000 0.5000

## Properties
E_form (uncorrected) = 788.9 meV/atom
space-group type = Immm (71)
mass density = 10.3 Mg/m³
excess energy over the best structure of this formula in the dataset = 0.5562 eV per atom

---

No. 3
Here is crystalline Co2WCl at its relaxed geometry from Alexandria. Energies are from PBE.

Cell: 5.1248 5.1248 5.1248 Å, 148.45 129.77 60.53°
Atoms (fractional coordinates):
1 Co 0.0000 0.0000 0.0000
2 Co 0.7467 0.2467 0.5000
3 W 0.2759 0.7759 0.5000
4 Cl 0.5041 0.5041 0.0000

## Properties
E_form (uncorrected) = 751.3 meV/atom
space-group type = Imm2 (44)
mass density = 10.4 Mg/m³
excess energy over the best structure of this formula in the dataset = 0.4721 eV per atom

---

No. 4
Here is crystalline LiErCu2 at its relaxed geometry from Alexandria. Energies are from PBE.

Cell: 3.3307 3.3307 6.1103 Å, 90.00 90.00 90.00°
Atoms (fractional coordinates):
1 Li 0.0000 0.0000 0.0000
2 Er 0.0000 0.0000 0.5000
3 Cu 0.5000 0.5000 0.2088
4 Cu 0.5000 0.5000 0.7912

## Properties
space-group type = P4/mmm (123)
mass density = 7.4 Mg/m³
calculated formation energy = -100 meV per atom

---

Let's list size of the total moment in order: 0.00 0.00 1.83 0.00 μB per formula unit.
Let's list E in order: -24.3 -30.9 -26.0 -15.1 eV for the cell shown.